[1]
! CdNiAs2 | OQMD via LeMat-Bulk | PBE-GGA | optimized geometry; values from VASP
! E, eV per atom: -3.87
&SYSTEM
  ibrav = 0, nat = 8, ntyp = 3
/
ATOMIC_SPECIES
As 74.92 As.upf
Cd 112.41 Cd.upf
Ni 58.69 Ni.upf
CELL_PARAMETERS angstrom
-2.8981 2.8981 5.4929
2.8981 -2.8981 5.4929
2.8981 2.8981 -5.4929
ATOMIC_POSITIONS angstrom
As 1.4491 -1.0491 4.1197
As 1.0491 1.4491 6.8661
As 1.8490 1.4491 1.3732
As 1.4491 3.9472 -1.3732
Cd 0.0000 0.0000 0.0000
Cd 0.0000 2.8981 2.7464
Ni 0.0000 0.0000 5.4929
Ni 2.8981 0.0000 2.7464



[2]
! Cd2Ni2AsP3 | OQMD via LeMat-Bulk | PBE-GGA | optimized geometry; values from VASP
! E, eV per atom: -4.17
&SYSTEM
  ibrav = 0, nat = 8, ntyp = 4
/
ATOMIC_SPECIES
As 74.92 As.upf
Cd 112.41 Cd.upf
Ni 58.69 Ni.upf
P 30.97 P.upf
CELL_PARAMETERS angstrom
5.9507 -2.8362 0.0000
5.9507 2.8362 0.0000
-2.6079 0.0000 4.9417
ATOMIC_POSITIONS angstrom
As 5.9507 -1.7266 0.0000
Cd 4.0534 2.0632 0.6434
Cd 5.2401 2.0632 4.2983
Ni 6.4908 -0.6541 1.9231
Ni 2.8026 -0.6542 3.0185
P 8.0887 0.7323 1.5887
P 4.6467 0.2801 2.4708
P 1.2047 0.7323 3.3530



[3]
! CdNiAsPd | OQMD via LeMat-Bulk | PBE-GGA | optimized geometry; values from VASP
! E, eV per atom: -4.15
&SYSTEM
  ibrav = 0, nat = 4, ntyp = 4
/
ATOMIC_SPECIES
As 74.92 As.upf
Cd 112.41 Cd.upf
Ni 58.69 Ni.upf
Pd 106.42 Pd.upf
CELL_PARAMETERS angstrom
0.0000 3.1642 3.1642
3.1642 0.0000 3.1642
3.1642 3.1642 0.0000
ATOMIC_POSITIONS angstrom
As 0.0000 0.0000 0.0000
Cd 3.1642 3.1642 3.1642
Ni 4.7462 4.7462 4.7462
Pd 1.5821 1.5821 1.5821



[4]
! ScCdNiAs | OQMD via LeMat-Bulk | PBE-GGA | optimized geometry; values from VASP
! E, eV per atom: -4.60
&SYSTEM
  ibrav = 0, nat = 4, ntyp = 4
/
ATOMIC_SPECIES
As 74.92 As.upf
Cd 112.41 Cd.upf
Ni 58.69 Ni.upf
Sc 44.96 Sc.upf
CELL_PARAMETERS angstrom
0.0000 3.2585 3.2585
3.2585 0.0000 3.2585
3.2585 3.2585 0.0000
ATOMIC_POSITIONS angstrom
As 0.0000 0.0000 0.0000
Cd 3.2585 3.2585 3.2585
Ni 4.8878 4.8878 4.8878
Sc 1.6293 1.6293 1.6293



[5]
! TaCdNiAs | OQMD via LeMat-Bulk | PBE-GGA | optimized geometry; values from VASP
! E, eV per atom: -5.41
&SYSTEM
  ibrav = 0, nat = 4, ntyp = 4
/
ATOMIC_SPECIES
As 74.92 As.upf
Cd 112.41 Cd.upf
Ni 58.69 Ni.upf
Ta 180.95 Ta.upf
CELL_PARAMETERS angstrom
2.5214 -0.0075 3.7495
-1.8862 -0.9730 3.9889
0.9667 -3.9011 2.0646
ATOMIC_POSITIONS angstrom
As 0.0000 0.0000 0.0000
Cd 0.8010 -2.4408 4.9015
Ni 1.2015 -3.6611 7.3523
Ta 0.4005 -1.2204 2.4508



[6]
! ZnCdNi2As4 | OQMD via LeMat-Bulk | PBE-GGA | optimized geometry; values from VASP
! E, eV per atom: -3.94
&SYSTEM
  ibrav = 0, nat = 8, ntyp = 4
/
ATOMIC_SPECIES
As 74.92 As.upf
Cd 112.41 Cd.upf
Ni 58.69 Ni.upf
Zn 65.41 Zn.upf
CELL_PARAMETERS angstrom
2.0343 5.7640 3.0263
-4.1173 1.2886 5.2828
3.4343 -5.6177 -1.7795
ATOMIC_POSITIONS angstrom
As 0.6306 3.4529 2.6260
As -0.4074 3.5178 6.3306
As 1.1937 -0.1696 2.4532
As 1.2859 -3.9315 1.6493
Cd 0.0000 0.0000 0.0000
Ni -1.0415 3.5263 4.1545
Ni 2.2136 1.8363 2.7007
Zn -0.8622 -0.4015 3.8289



| no. | total moment (μB/cell) |
| --- | --- |
| 1 | 0.0 |
| 2 | 0.0 |
| 3 | 0.0 |
| 4 | 0.0 |
| 5 | 0.0 |
| 6 | 0.0 |